No. 1
Below is a geometry-optimized KSr2Pt structure, with properties calculated at the PBE level.

POSCAR file:
```
KSr2Pt
1.0
8.112 0.000 0.000
0.000 8.112 0.000
0.000 0.000 8.112
K Sr Pt
4 8 4
direct
0.000 0.000 0.000
0.000 0.500 0.500
0.500 0.000 0.500
0.500 0.500 0.000
0.000 0.000 0.500
0.000 0.500 0.000
0.250 0.250 0.250
0.250 0.750 0.750
0.500 0.000 0.000
0.500 0.500 0.500
0.750 0.250 0.750
0.750 0.750 0.250
0.250 0.250 0.750
0.250 0.750 0.250
0.750 0.250 0.250
0.750 0.750 0.750
```

Values from the calculation:
DOS at the Fermi energy ... 4.63 states/eV/f.u.
E ... -39.99 eV for the cell shown
Magnetization ... 0.00 μB/f.u.
DFT formation energy ... 126 meV per atom
SG ... No. 216
Distance to the lowest polymorph of the same formula ... 227 kJ/mol of formula units

No. 2
Below is a geometry-optimized K2SrPt structure, with properties calculated at the PBE level.

POSCAR file:
```
K2SrPt
1.0
11.523 0.000 0.000
0.000 11.523 0.000
0.000 0.000 5.840
K Sr Pt
8 4 4
direct
0.120 0.250 0.125
0.250 0.620 0.375
0.250 0.880 0.875
0.380 0.250 0.625
0.620 0.750 0.625
0.750 0.120 0.875
0.750 0.380 0.375
0.880 0.750 0.125
0.000 0.000 0.500
0.000 0.500 0.750
0.500 0.000 0.250
0.500 0.500 0.000
0.000 0.000 0.000
0.000 0.500 0.250
0.500 0.000 0.750
0.500 0.500 0.500
```

Values from the calculation:
DOS at the Fermi energy ... 1.05 states/eV/f.u.
E ... -40.11 eV for the cell shown
Magnetization ... 0.00 μB/f.u.
DFT formation energy ... -27 meV per atom
SG ... No. 122
Distance to the lowest polymorph of the same formula ... 83 kJ/mol of formula units

No. 3
Below is a geometry-optimized KSrPt2 structure, with properties calculated at the PBE level.

POSCAR file:
```
KSrPt2
1.0
3.689 0.000 0.000
0.000 3.689 0.000
0.000 0.000 9.200
K Sr Pt
1 1 2
direct
0.000 0.000 0.000
0.500 0.500 0.566
0.000 0.000 0.338
0.500 0.500 0.267
```

Values from the calculation:
DOS at the Fermi energy ... 2.93 states/eV/f.u.
E ... -15.47 eV for the cell shown
Magnetization ... 0.00 μB/f.u.
DFT formation energy ... -151 meV per atom
SG ... No. 99

No. 4
Below is a geometry-optimized KSr2Pt structure, with properties calculated at the PBE level.

POSCAR file:
```
KSr2Pt
1.0
13.355 0.000 0.000
0.000 4.192 0.000
-3.727 0.000 6.349
K Sr Pt
2 4 2
direct
0.000 0.000 0.000
0.500 0.500 0.000
0.179 0.000 0.697
0.348 0.000 0.327
0.679 0.500 0.697
0.848 0.500 0.327
0.215 0.500 0.006
0.715 0.000 0.006
```

Values from the calculation:
DOS at the Fermi energy ... 2.34 states/eV/f.u.
E ... -23.27 eV for the cell shown
Magnetization ... 0.00 μB/f.u.
DFT formation energy ... -283 meV per atom
SG ... No. 8
Distance to the lowest polymorph of the same formula ... 69 kJ/mol of formula units

No. 5
Below is a geometry-optimized KSrPt2 structure, with properties calculated at the PBE level.

POSCAR file:
```
KSrPt2
1.0
4.723 0.000 0.000
0.000 4.723 0.000
0.000 0.000 4.284
K Sr Pt
1 1 2
direct
0.000 0.000 0.000
0.500 0.500 0.000
0.000 0.500 0.500
0.500 0.000 0.500
```

Values from the calculation:
DOS at the Fermi energy ... 2.70 states/eV/f.u.
E ... -15.46 eV for the cell shown
Magnetization ... 0.00 μB/f.u.
DFT formation energy ... -149 meV per atom
SG ... No. 123

No. 6
Below is a geometry-optimized K4SrPt structure, with properties calculated at the PBE level.

POSCAR file:
```
K4SrPt
1.0
0.000 5.132 5.132
5.132 0.000 5.132
5.132 5.132 0.000
K Sr Pt
4 1 1
direct
0.122 0.122 0.122
0.122 0.122 0.633
0.122 0.633 0.122
0.633 0.122 0.122
0.500 0.500 0.500
0.750 0.750 0.750
```

Values from the calculation:
DOS at the Fermi energy ... 3.24 states/eV/f.u.
E ... -9.32 eV for the cell shown
Magnetization ... 0.00 μB/f.u.
DFT formation energy ... 465 meV per atom
SG ... No. 216

Which formula does entry 6 have? K4SrPt

Among the records above, which one has the highest DFT formation energy? K4SrPt